# 1
PmSc2Br8 | GGA-PBE | relaxed

Output
formation energy (no corrections): -1707 kJ/mol of formula units

Cell lengths 13.8316, 9.9879, 6.8353 Å; angles 90.00, 93.75, 90.00 degrees
With the nearest neighbours (Å) after each atom.
Space group C2/m (No. 12)
One atom of each set of equivalent atoms:
Pm  0.0000  0.0000  0.0000  6 Br 2.92-2.95
Sc  0.1855  0.0000  0.6428  4 Br 2.44-2.59
Br  0.0891  0.2018  0.7600  1 Sc 2.57
Br  0.1443  0.5000  0.2355  1 Sc 2.44
Br  0.1782  0.0000  0.2625  1 Sc 2.59

---

# 2
CsReS2 | GGA-PBE | relaxed

Output
formation energy (no corrections): 408 kJ/mol of formula units

Cell lengths 6.8510, 6.8510, 6.8510 Å; angles 90.00, 90.00, 90.00 degrees
With the nearest neighbours (Å) after each atom.
Space group Fm-3m (No. 225)
One atom of each set of equivalent atoms:
Cs  0.0000  0.0000  0.0000  8 S 2.97
Re  0.0000  0.0000  0.5000  8 S 2.97
S  0.2500  0.2500  0.2500  4 Re 2.97, 4 Cs 2.97